Entry 1:
3
Lattice="2.9141 0.0000 0.0000 0.0000 2.9141 0.0000 -1.4571 -1.4571 6.4254" Properties=species:S:1:pos:R:3 comment="TcHg2 (SCAN, PBEsol geometry)" magnetic_moment_mub_per_cell=1.84 e_tot_ev_per_atom=-56.51 space_group=I4/mmm pbc="T T T"
Tc 0.0000 0.0000 0.0000
Hg 0.0000 0.0000 4.4203
Hg 1.4571 1.4571 2.0051

Entry 2:
5
Lattice="-2.5963 -0.7141 2.8835 -4.4702 -0.7145 -1.5029 -0.5039 -4.6132 1.1029" Properties=species:S:1:pos:R:3 comment="Tc4Hg (SCAN, PBEsol geometry)" magnetic_moment_mub_per_cell=0.00 e_tot_ev_per_atom=-41.39 space_group=I4/m pbc="T T T"
Hg 0.0000 0.0000 0.0000
Tc -4.3594 -1.8863 1.0057
Tc -3.2110 -4.1554 1.4778
Tc -5.8698 -3.9529 1.8329
Tc -1.7005 -2.0888 0.6506

Entry 3:
4
Lattice="3.4135 0.0000 0.0000 0.0000 4.7648 0.0000 0.0000 0.0000 5.2762" Properties=species:S:1:pos:R:3 comment="TcHgTe2 (SCAN, PBEsol geometry)" raw_formation_energy_ev_per_atom=0.720 magnetic_moment_mub_per_cell=2.37 e_tot_ev_per_atom=-43.71 space_group=Pmmm pbc="T T T"
Te 0.0000 0.0000 0.0000
Te 0.0000 2.3824 2.6381
Hg 1.7067 2.3824 0.0000
Tc 1.7067 0.0000 2.6381

- Number 1 is which compound?
  TcHg2